# 1
Density functional theory data (GGA-PBE) for an optimized crystal structure of KScH2.

Its energy above the lowest structure with this stoichiometry is 0.00 eV/f.u.

The structure belongs to space group I-42d (No. 122); the cell edges are 5.678, 5.678 and 9.876 Å and the angles 90.00°, 90.00° and 90.00°. The inequivalent atoms are K at (0.000, 0.000, 0.000), Sc at (0.000, 0.000, 0.500) and H at (0.086, 0.250, 0.625).

***

# 2
Density functional theory data (GGA-PBE) for an optimized crystal structure of MgUTcO6.

The structure belongs to space group P-31c (No. 163); the cell edges are 5.3040, 5.3040 and 8.9010 Å and the angles 90.00°, 90.00° and 120.00°. The inequivalent atoms are Mg at (0.3333, 0.6667, 0.2500), U at (0.3333, 0.6667, 0.7500), Tc at (0.0000, 0.0000, 0.0000) and O at (0.0022, 0.3225, 0.6264).

***

# 3
Density functional theory data (GGA-PBE) for an optimized crystal structure of PrLuPd4.

Its formation energy from the elements is -4.7 eV per formula unit.

The structure belongs to space group F-43m (No. 216); the cell edges are 7.742, 7.742 and 7.742 Å and the angles 90.00°, 90.00° and 90.00°. The inequivalent atoms are Pr at (0.000, 0.000, 0.000), Lu at (0.250, 0.250, 0.250) and Pd at (0.124, 0.124, 0.624).

***

# 4
Density functional theory data (GGA-PBE) for an optimized crystal structure of Hf4InS8.

Its energy above the lowest structure with this stoichiometry is 1.29 eV/f.u.

The structure belongs to space group F-43m (No. 216); the cell edges are 10.621, 10.621 and 10.621 Å and the angles 90.00°, 90.00° and 90.00°. The inequivalent atoms are Hf at (0.117, 0.117, 0.117), In at (0.000, 0.000, 0.500), S at (0.121, 0.121, 0.879) and S at (0.138, 0.138, 0.362).

***

# 5
Density functional theory data (GGA-PBE) for an optimized crystal structure of FeNi4Pt4.

Its energy above the lowest structure with this stoichiometry is 0.00 eV/f.u. Its formation energy from the elements is -1.4 eV per formula unit.

The structure belongs to space group I4/mmm (No. 139); the cell edges are 7.951, 7.951 and 3.782 Å and the angles 90.00°, 90.00° and 90.00°. The inequivalent atoms are Fe at (0.000, 0.000, 0.000), Ni at (0.161, 0.161, 0.500) and Pt at (0.000, 0.320, 0.000).

***

# 6
Density functional theory data (GGA-PBE) for an optimized crystal structure of TiZnCu2Hg.

Its formation energy from the elements is 5.0 eV per formula unit.

The structure belongs to space group P4/mmm (No. 123); the cell edges are 4.756, 4.756 and 4.775 Å and the angles 90.00°, 90.00° and 90.00°. The inequivalent atoms are Ti at (0.000, 0.000, 0.000), Zn at (0.500, 0.500, 0.000), Cu at (0.000, 0.500, 0.500) and Hg at (0.500, 0.500, 0.500).

***

The energy results, record by record, are as follows: -3.588 -8.211 -5.797 -7.174 -6.350 -2.528 eV per atom.
The mass density results, record by record, are as follows: 1.795 6.989 10.613 6.016 14.876 6.779 Mg/m³.
The size of the total moment results, record by record, are as follows: 0.0 3.0 0.0 0.0 7.0 0.0 μB/f.u..